# GGA-PBE ScGaTc, relaxed
# calculated volume	98.5	Å³/cell
# symmetry	P4/mmm, No. 123
# E	-6.980	eV per atom
data_ScGaTc
_chemical_formula_sum 'Sc2 Ga2 Tc2'
_space_group_name_H-M_alt 'P 1'
_space_group_IT_number 1
_space_group_name_Hall 'P 1'
_cell_length_a 3.347
_cell_length_b 3.347
_cell_length_c 8.795
_cell_angle_alpha 90.00
_cell_angle_beta 90.00
_cell_angle_gamma 90.00
loop_
_atom_site_label
_atom_site_type_symbol
_atom_site_fract_x
_atom_site_fract_y
_atom_site_fract_z
_atom_site_occupancy
Sc1 Sc 0.000 0.000 0.169 1
Sc2 Sc 0.000 0.000 0.831 1
Ga1 Ga 0.500 0.500 0.350 1
Ga2 Ga 0.500 0.500 0.650 1
Tc1 Tc 0.000 0.000 0.500 1
Tc2 Tc 0.500 0.500 0.000 1